Record 1
The following is a DFT calculation (meta-GGA SCAN) of a PBEsol-optimized structure of Sc2O3.

Summary:
- Fermi-level density of states (states/eV/atom) = 0.0000
- space-group type = No. 148
- raw formation energy (meV per atom) = -3798

The structure in POSCAR format:
```
Sc2O3
1.0
2.6851 1.5502 4.8828
-2.6851 1.5502 4.8828
0.0000 -3.1005 4.8828
Sc O
4 6
direct
0.0000 0.0000 0.0000
0.2002 0.2002 0.2002
0.5000 0.5000 0.5000
0.7998 0.7998 0.7998
0.1115 0.3837 0.7874
0.2126 0.8885 0.6163
0.3837 0.7874 0.1115
0.6163 0.2126 0.8885
0.7874 0.1115 0.3837
0.8885 0.6163 0.2126
```


Record 2
The following is a DFT calculation (meta-GGA SCAN) of a PBEsol-optimized structure of Sc2O3.

Summary:
- Fermi-level density of states (states/eV/atom) = 0.0000
- space-group type = No. 167
- raw formation energy (meV per atom) = -3860

The structure in POSCAR format:
```
Sc2O3
1.0
2.6617 1.5368 4.7124
-2.6617 1.5368 4.7124
0.0000 -3.0735 4.7124
Sc O
4 6
direct
0.1438 0.1438 0.1438
0.3562 0.3562 0.3562
0.6438 0.6438 0.6438
0.8562 0.8562 0.8562
0.0486 0.7500 0.4514
0.2500 0.5486 0.9514
0.4514 0.0486 0.7500
0.5486 0.9514 0.2500
0.7500 0.4514 0.0486
0.9514 0.2500 0.5486
```


Record 3
The following is a DFT calculation (meta-GGA SCAN) of a PBEsol-optimized structure of Sc2Se3O9.

Summary:
- Fermi-level density of states (states/eV/atom) = 0.0000
- space-group type = No. 176
- raw formation energy (meV per atom) = -1989

The structure in POSCAR format:
```
Sc2Se3O9
1.0
8.1675 0.0000 0.0000
-4.0838 7.0733 0.0000
0.0000 0.0000 7.6570
Sc Se O
4 6 18
direct
0.3333 0.6667 0.0450
0.3333 0.6667 0.4550
0.6667 0.3333 0.5450
0.6667 0.3333 0.9550
0.0316 0.7317 0.7500
0.2683 0.2998 0.7500
0.2998 0.0316 0.2500
0.7002 0.9684 0.7500
0.7317 0.7002 0.2500
0.9684 0.2683 0.2500
0.1277 0.5109 0.2500
0.1703 0.7535 0.5764
0.1703 0.7535 0.9236
0.2465 0.4168 0.5764
0.2465 0.4168 0.9236
0.3832 0.8723 0.2500
0.4168 0.1703 0.0764
0.4168 0.1703 0.4236
0.4891 0.6168 0.2500
0.5109 0.3832 0.7500
0.5832 0.8297 0.5764
0.5832 0.8297 0.9236
0.6168 0.1277 0.7500
0.7535 0.5832 0.0764
0.7535 0.5832 0.4236
0.8297 0.2465 0.0764
0.8297 0.2465 0.4236
0.8723 0.4891 0.7500
```


Record 4
The following is a DFT calculation (meta-GGA SCAN) of a PBEsol-optimized structure of ScSeO2.

Summary:
- Fermi-level density of states (states/eV/atom) = 0.2537
- space-group type = No. 166
- raw formation energy (meV per atom) = -2319

The structure in POSCAR format:
```
ScSeO2
1.0
3.2165 0.0000 0.0000
-1.6082 2.7855 0.0000
0.0000 0.0000 18.5192
Sc Se O
3 3 6
direct
0.0000 0.0000 0.0000
0.3333 0.6667 0.6667
0.6667 0.3333 0.3333
0.0000 0.0000 0.5000
0.3333 0.6667 0.1667
0.6667 0.3333 0.8333
0.0000 0.0000 0.3879
0.0000 0.0000 0.6121
0.3333 0.6667 0.0545
0.3333 0.6667 0.2788
0.6667 0.3333 0.7212
0.6667 0.3333 0.9455
```


Record 5
The following is a DFT calculation (meta-GGA SCAN) of a PBEsol-optimized structure of Sc2TeSe2O10.

Summary:
- Fermi-level density of states (states/eV/atom) = 0.0000
- space-group type = No. 14
- raw formation energy (meV per atom) = -1930

The structure in POSCAR format:
```
Sc2TeSe2O10
1.0
6.5239 0.0000 0.0000
0.0000 11.0651 0.0000
-2.2903 0.0000 12.2087
Sc Te Se O
8 4 8 40
direct
0.1961 0.1550 0.4096
0.1961 0.3450 0.9096
0.2471 0.6980 0.5281
0.2471 0.8020 0.0281
0.7529 0.1980 0.9719
0.7529 0.3020 0.4719
0.8039 0.6550 0.0904
0.8039 0.8450 0.5904
0.3242 0.5228 0.1728
0.3242 0.9772 0.6728
0.6758 0.0228 0.3272
0.6758 0.4772 0.8272
0.1229 0.6496 0.7787
0.1229 0.8504 0.2787
0.3019 0.1068 0.0438
0.3019 0.3932 0.5438
0.6981 0.6068 0.4562
0.6981 0.8932 0.9562
0.8771 0.1496 0.7213
0.8771 0.3504 0.2213
0.0617 0.5216 0.8362
0.0617 0.9784 0.3362
0.0783 0.1924 0.0073
0.0783 0.3076 0.5073
0.1001 0.2177 0.7705
0.1001 0.2823 0.2705
0.1463 0.6488 0.0998
0.1463 0.8512 0.5998
0.2479 0.5214 0.4685
0.2479 0.9786 0.9685
0.2665 0.6142 0.6848
0.2665 0.8858 0.1848
0.2705 0.7367 0.8709
0.2705 0.7633 0.3709
0.3084 0.0779 0.5519
0.3084 0.4221 0.0519
0.4284 0.1918 0.9578
0.4284 0.3082 0.4578
0.4338 0.1103 0.3362
0.4338 0.3897 0.8362
0.5662 0.6103 0.1638
0.5662 0.8897 0.6638
0.5716 0.6918 0.5422
0.5716 0.8082 0.0422
0.6916 0.5779 0.9481
0.6916 0.9221 0.4481
0.7295 0.2367 0.6291
0.7295 0.2633 0.1291
0.7335 0.1142 0.8152
0.7335 0.3858 0.3152
0.7521 0.0214 0.0315
0.7521 0.4786 0.5315
0.8537 0.1488 0.4002
0.8537 0.3512 0.9002
0.8999 0.7177 0.7295
0.8999 0.7823 0.2295
0.9217 0.6924 0.4927
0.9217 0.8076 0.9927
0.9383 0.0216 0.6639
0.9383 0.4784 0.1638
```


Record 6
The following is a DFT calculation (meta-GGA SCAN) of a PBEsol-optimized structure of ScVSe2O8.

Summary:
- Fermi-level density of states (states/eV/atom) = 0.0000
- space-group type = No. 14
- raw formation energy (meV per atom) = -1997

The structure in POSCAR format:
```
ScVSe2O8
1.0
8.9145 0.0000 0.0000
0.0000 5.1439 0.0000
-5.1454 0.0000 14.0302
Sc V Se O
4 4 8 32
direct
0.1902 0.1951 0.1100
0.1902 0.3049 0.6100
0.8098 0.6951 0.3900
0.8098 0.8049 0.8900
0.3724 0.6464 0.0170
0.3724 0.8536 0.5170
0.6276 0.1464 0.4830
0.6276 0.3536 0.9830
0.0647 0.1900 0.3693
0.0647 0.3100 0.8693
0.3930 0.7101 0.8031
0.3930 0.7899 0.3031
0.6070 0.2101 0.6969
0.6070 0.2899 0.1969
0.9353 0.6900 0.1307
0.9353 0.8100 0.6307
0.0003 0.0243 0.9007
0.0003 0.4757 0.4007
0.9997 0.5243 0.5993
0.9997 0.9757 0.0993
0.1064 0.5085 0.1691
0.1064 0.9915 0.6691
0.1580 0.0716 0.4859
0.1580 0.4284 0.9859
0.2939 0.7302 0.8846
0.2939 0.7698 0.3846
0.3022 0.6075 0.5627
0.3022 0.8925 0.0627
0.3172 0.0702 0.2472
0.3172 0.4298 0.7472
0.4148 0.0953 0.6274
0.4148 0.4047 0.1274
0.4356 0.2078 0.4596
0.4356 0.2922 0.9596
0.5644 0.7078 0.0404
0.5644 0.7922 0.5404
0.5852 0.5953 0.8726
0.5852 0.9047 0.3726
0.6828 0.5702 0.2528
0.6828 0.9298 0.7528
0.6978 0.1075 0.9373
0.6978 0.3925 0.4373
0.7061 0.2302 0.6154
0.7061 0.2698 0.1154
0.8420 0.5716 0.0141
0.8420 0.9284 0.5141
0.8936 0.0085 0.3309
0.8936 0.4915 0.8309
```


Record 7
The following is a DFT calculation (meta-GGA SCAN) of a PBEsol-optimized structure of ZrScSe2O.

Summary:
- Fermi-level density of states (states/eV/atom) = 0.3455
- space-group type = No. 123
- raw formation energy (meV per atom) = -1038

The structure in POSCAR format:
```
ZrScSe2O
1.0
4.9091 0.0000 0.0000
0.0000 4.9091 0.0000
0.0000 0.0000 3.7415
Zr Sc Se O
1 1 2 1
direct
0.0000 0.0000 0.0000
0.5000 0.5000 0.0000
0.0000 0.5000 0.5000
0.5000 0.0000 0.5000
0.5000 0.5000 0.5000
```


Record 8
The following is a DFT calculation (meta-GGA SCAN) of a PBEsol-optimized structure of Sc2SnO2.

Summary:
- Fermi-level density of states (states/eV/atom) = 0.2296
- space-group type = No. 139
- raw formation energy (meV per atom) = -2708

The structure in POSCAR format:
```
Sc2SnO2
1.0
3.5606 0.0000 0.0000
0.0000 3.5606 0.0000
0.0000 0.0000 13.1557
Sc Sn O
4 2 4
direct
0.0000 0.0000 0.1728
0.0000 0.0000 0.8272
0.5000 0.5000 0.3272
0.5000 0.5000 0.6728
0.0000 0.0000 0.5000
0.5000 0.5000 0.0000
0.0000 0.5000 0.2500
0.0000 0.5000 0.7500
0.5000 0.0000 0.2500
0.5000 0.0000 0.7500
```


Record 9
The following is a DFT calculation (meta-GGA SCAN) of a PBEsol-optimized structure of ScSnO2.

Summary:
- Fermi-level density of states (states/eV/atom) = 0.0757
- space-group type = No. 166
- raw formation energy (meV per atom) = -2662

The structure in POSCAR format:
```
ScSnO2
1.0
3.1960 0.0000 0.0000
-1.5980 2.7678 0.0000
0.0000 0.0000 20.0357
Sc Sn O
3 3 6
direct
0.0000 0.0000 0.0000
0.3333 0.6667 0.6667
0.6667 0.3333 0.3333
0.0000 0.0000 0.5000
0.3333 0.6667 0.1667
0.6667 0.3333 0.8333
0.0000 0.0000 0.3854
0.0000 0.0000 0.6146
0.3333 0.6667 0.0521
0.3333 0.6667 0.2812
0.6667 0.3333 0.7188
0.6667 0.3333 0.9479
```


Record 10
The following is a DFT calculation (meta-GGA SCAN) of a PBEsol-optimized structure of ScTi2SnO.

Summary:
- Fermi-level density of states (states/eV/atom) = 0.8996
- space-group type = No. 123
- raw formation energy (meV per atom) = 1399

The structure in POSCAR format:
```
ScTi2SnO
1.0
4.4982 0.0000 0.0000
0.0000 4.4982 0.0000
0.0000 0.0000 5.2353
Sc Ti Sn O
1 2 1 1
direct
0.0000 0.0000 0.0000
0.0000 0.5000 0.0000
0.5000 0.0000 0.0000
0.0000 0.0000 0.5000
0.5000 0.5000 0.5000
```


Record 11
The following is a DFT calculation (meta-GGA SCAN) of a PBEsol-optimized structure of Sr2ScO2.

Summary:
- Fermi-level density of states (states/eV/atom) = 0.4059
- space-group type = No. 139
- raw formation energy (meV per atom) = -2258

The structure in POSCAR format:
```
Sr2ScO2
1.0
4.8718 0.0000 0.0000
0.0000 4.8718 0.0000
0.0000 0.0000 10.5478
Sr Sc O
4 2 4
direct
0.0000 0.5000 0.2500
0.0000 0.5000 0.7500
0.5000 0.0000 0.2500
0.5000 0.0000 0.7500
0.0000 0.0000 0.0000
0.5000 0.5000 0.5000
0.0000 0.0000 0.1881
0.0000 0.0000 0.8119
0.5000 0.5000 0.3119
0.5000 0.5000 0.6881
```


Record 12
The following is a DFT calculation (meta-GGA SCAN) of a PBEsol-optimized structure of ScTaO2.

Summary:
- Fermi-level density of states (states/eV/atom) = 0.7114
- space-group type = No. 122
- raw formation energy (meV per atom) = -2024

The structure in POSCAR format:
```
ScTaO2
1.0
4.8643 0.0000 0.0000
0.0000 4.8643 0.0000
0.0000 0.0000 9.2530
Sc Ta O
4 4 8
direct
0.0000 0.0000 0.0000
0.0000 0.5000 0.2500
0.5000 0.0000 0.7500
0.5000 0.5000 0.5000
0.0000 0.0000 0.5000
0.0000 0.5000 0.7500
0.5000 0.0000 0.2500
0.5000 0.5000 0.0000
0.2474 0.2500 0.1250
0.2500 0.7474 0.3750
0.2500 0.7526 0.8750
0.2526 0.2500 0.6250
0.7474 0.7500 0.6250
0.7500 0.2474 0.8750
0.7500 0.2526 0.3750
0.7526 0.7500 0.1250
```


Record 13
The following is a DFT calculation (meta-GGA SCAN) of a PBEsol-optimized structure of ScTcO3.

Summary:
- Fermi-level density of states (states/eV/atom) = 0.8700
- space-group type = No. 221
- raw formation energy (meV per atom) = -1416

The structure in POSCAR format:
```
ScTcO3
1.0
3.9768 0.0000 0.0000
0.0000 3.9768 0.0000
0.0000 0.0000 3.9768
Sc Tc O
1 1 3
direct
0.0000 0.0000 0.0000
0.5000 0.5000 0.5000
0.0000 0.0000 0.5000
0.0000 0.5000 0.0000
0.5000 0.0000 0.0000
```


Record 14
The following is a DFT calculation (meta-GGA SCAN) of a PBEsol-optimized structure of Sc2Te5O13.

Summary:
- Fermi-level density of states (states/eV/atom) = 0.0000
- space-group type = No. 2
- raw formation energy (meV per atom) = -1827

The structure in POSCAR format:
```
Sc2Te5O13
1.0
6.5616 0.0000 0.0000
2.2603 8.1696 0.0000
0.5788 0.3849 10.2824
Sc Te O
4 10 26
direct
0.0142 0.2549 0.2457
0.4448 0.9529 0.8083
0.5552 0.0471 0.1917
0.9858 0.7451 0.7543
0.1510 0.8580 0.0930
0.1644 0.2941 0.6356
0.2610 0.9007 0.4718
0.2903 0.3849 0.9705
0.4631 0.4145 0.3025
0.5369 0.5855 0.6975
0.7097 0.6151 0.0295
0.7390 0.0993 0.5282
0.8356 0.7059 0.3644
0.8490 0.1420 0.9070
0.0187 0.8571 0.5657
0.0484 0.3268 0.0489
0.0753 0.7726 0.2876
0.0848 0.5129 0.6966
0.1411 0.9981 0.9120
0.2373 0.0180 0.1838
0.3013 0.7357 0.7769
0.3207 0.2476 0.2934
0.3372 0.0108 0.6133
0.3475 0.2172 0.7766
0.3568 0.4982 0.1178
0.4437 0.6837 0.5146
0.4892 0.1796 0.0130
0.5108 0.8204 0.9870
0.5563 0.3163 0.4854
0.6432 0.5018 0.8822
0.6525 0.7828 0.2234
0.6629 0.9892 0.3867
0.6793 0.7524 0.7066
0.6987 0.2643 0.2231
0.7627 0.9820 0.8162
0.8589 0.0019 0.0880
0.9152 0.4871 0.3034
0.9247 0.2274 0.7124
0.9516 0.6732 0.9511
0.9813 0.1429 0.4343
```


Record 15
The following is a DFT calculation (meta-GGA SCAN) of a PBEsol-optimized structure of ScTeO2.

Summary:
- Fermi-level density of states (states/eV/atom) = 0.2132
- space-group type = No. 166
- raw formation energy (meV per atom) = -2372

The structure in POSCAR format:
```
ScTeO2
1.0
3.2855 0.0000 0.0000
-1.6427 2.8453 0.0000
0.0000 0.0000 19.5270
Sc Te O
3 3 6
direct
0.0000 0.0000 0.0000
0.3333 0.6667 0.6667
0.6667 0.3333 0.3333
0.0000 0.0000 0.5000
0.3333 0.6667 0.1667
0.6667 0.3333 0.8333
0.0000 0.0000 0.3843
0.0000 0.0000 0.6157
0.3333 0.6667 0.0509
0.3333 0.6667 0.2824
0.6667 0.3333 0.7176
0.6667 0.3333 0.9491
```


Record 16
The following is a DFT calculation (meta-GGA SCAN) of a PBEsol-optimized structure of Sc2Te3O9.

Summary:
- Fermi-level density of states (states/eV/atom) = 0.0000
- space-group type = No. 14
- raw formation energy (meV per atom) = -2118

The structure in POSCAR format:
```
Sc2Te3O9
1.0
5.1817 0.0000 0.0000
0.0000 23.9736 0.0000
-3.0836 0.0000 6.5319
Sc Te O
8 12 36
direct
0.1234 0.1595 0.1213
0.1234 0.3405 0.6213
0.1637 0.0302 0.3609
0.1637 0.4698 0.8609
0.8363 0.5302 0.1391
0.8363 0.9698 0.6391
0.8766 0.6595 0.3787
0.8766 0.8405 0.8787
0.2301 0.6172 0.0176
0.2301 0.8828 0.5176
0.4713 0.7220 0.6730
0.4713 0.7780 0.1730
0.4773 0.5648 0.6051
0.4773 0.9352 0.1051
0.5227 0.0648 0.8949
0.5227 0.4352 0.3949
0.5287 0.2220 0.8270
0.5287 0.2780 0.3270
0.7699 0.1172 0.4824
0.7699 0.3828 0.9824
0.0259 0.6199 0.1817
0.0259 0.8801 0.6817
0.0352 0.5467 0.9371
0.0352 0.9533 0.4371
0.1399 0.7262 0.4246
0.1399 0.7738 0.9246
0.2044 0.5168 0.4107
0.2044 0.9832 0.9107
0.2128 0.6193 0.6169
0.2128 0.8807 0.1169
0.2888 0.1823 0.9183
0.2888 0.3177 0.4183
0.4212 0.0891 0.2707
0.4212 0.4109 0.7707
0.4363 0.2024 0.3576
0.4363 0.2976 0.8576
0.4730 0.5300 0.8434
0.4730 0.9700 0.3434
0.5270 0.0300 0.6566
0.5270 0.4700 0.1566
0.5637 0.7024 0.1424
0.5637 0.7976 0.6424
0.5788 0.5891 0.2293
0.5788 0.9109 0.7293
0.7112 0.6823 0.5817
0.7112 0.8177 0.0817
0.7872 0.1193 0.8831
0.7872 0.3807 0.3831
0.7956 0.0168 0.0893
0.7956 0.4832 0.5893
0.8601 0.2262 0.0754
0.8601 0.2738 0.5754
0.9648 0.0467 0.5629
0.9648 0.4533 0.0629
0.9741 0.1199 0.3183
0.9741 0.3801 0.8183
```